SrErCo: optimized geometry, PBE.

Cell: 4.843 4.843 4.843 Å, 60.00 60.00 60.00°
Positions (direct):
Co: 0.000 0.000 0.000
Er: 0.250 0.250 0.250
Sr: 0.750 0.750 0.750

Output
- E above lowest polymorph: 0.0 meV/atom
- Final energy: -4.14 eV per atom
- Volume: 80.3 Å³/cell
- Magnetization: 0.001 μB per atom
- Crystal system: cubic


Pr3TlAgHg2Pt2: optimized geometry, PBE.

Cell: 3.955 7.997 7.997 Å, 120.00 90.00 90.00°
Positions (direct):
Ag: 0.000 0.999 0.999
Hg: 0.500 0.737 0.001
Hg: 0.500 0.001 0.737
Pr: 0.000 0.997 0.413
Pr: 0.000 0.594 0.594
Pr: 0.000 0.413 0.997
Pt: 0.500 0.665 0.333
Pt: 0.500 0.333 0.665
Tl: 0.500 0.261 0.261

Output
- Final energy: -4.27 eV per atom
- Volume: 219.0 Å³/cell
- Magnetization: 0.003 μB per atom
- Crystal system: orthorhombic


Which formula does entry 2 have?
Pr3TlAgHg2Pt2